Material: MgFe4O8
Method: DFT, PBE+U
State: optimized geometry

Output
ΔE to the lowest computed polymorph	2.6	meV/atom
crystal system	monoclinic
density of states at the Fermi level	1.59	states/eV/f.u.
total magnetization	14.00	μB/cell

Cell and atoms, written as POSCAR:
```
MgFe4O8
1.0
7.080 -1.480 0.000
7.080 1.480 0.000
-6.056 0.000 7.131
Mg Fe O
1 4 8
Cartesian
0.000 0.000 0.000
2.655 0.000 0.021
3.193 0.000 4.599
7.772 0.000 2.661
12.125 0.000 2.102
-2.815 0.000 5.316
-0.394 0.000 3.292
1.473 0.000 1.520
4.169 0.000 2.994
6.123 0.000 0.993
2.395 0.000 6.414
10.799 0.000 0.557
9.113 0.000 4.093
```